Entry 1:
An optimized crystal structure of Li2MgRe. Source: the Alexandria database, functional PBE-GGA.

Values from the calculation:
Offset from the most stable computed form ... 0.071 eV per atom
Crystal system ... tetragonal

a = 2.625 Å, b = 2.625 Å, c = 9.441 Å
α = 90.00°, β = 90.00°, γ = 90.00°
Space group P4/mmm (No. 123)
Inequivalent atoms, fractional coordinates:
Li1 0.000 0.000 0.227 (multiplicity 2)
Mg1 0.500 0.500 0.500 (multiplicity 1)
Re1 0.500 0.500 0.000 (multiplicity 1)

Entry 2:
An optimized crystal structure of Ac2DyGe3Pd12. Source: the Alexandria database, functional PBE-GGA.

Values from the calculation:
Crystal system ... trigonal

a = 9.4703 Å, b = 9.4703 Å, c = 13.3265 Å
α = 90.00°, β = 90.00°, γ = 120.00°
Space group R-3m (No. 166, hexagonal axes)
Inequivalent atoms, fractional coordinates:
Ac1 0.0000 0.0000 0.1466 (multiplicity 6)
Dy1 0.0000 0.0000 0.5000 (multiplicity 3)
Ge1 0.0000 0.5000 0.0000 (multiplicity 9)
Pd1 0.0022 0.5011 0.1864 (multiplicity 18)
Pd2 0.0249 0.5125 0.3888 (multiplicity 18)

no.,density of states at the Fermi level (states/eV/f.u.),ΔH_f (0 K) (kcal/mol of atoms),total energy (eV/atom)
1,1.27,6.215,-4.198
2,8.09,-11.266,-5.432